# 1
Compound: Mn3FeO8
Source: Alexandria
Functional: meta-GGA SCAN
Structure: single point on PBEsol structure

a b c (Å): 5.6129 5.6129 8.5465
angles (deg): 90.00 90.00 120.00
Space group P6_3mc (No. 186)
Inequivalent atoms, fractional coordinates:
Mn1 0.1679 0.3357 0.0000 x6
Fe1 0.3333 0.6667 0.7258 x2
O1 0.0000 0.0000 0.3915 x2
O2 0.0389 0.5195 0.8698 x6
O3 0.1684 0.3369 0.6141 x6
O4 0.3333 0.6667 0.1129 x2

Summary:
Its density of states at the Fermi level is 11.08 states/eV per cell. The value obtained for the total energy is -12.104 eV per atom. Its energy relative to the lowest polymorph listed for this composition is 0 meV/atom. The formation energy from raw total energies is -1.88 eV/atom.

# 2
Compound: Mn9FeO10
Source: Alexandria
Functional: meta-GGA SCAN
Structure: single point on PBEsol structure

a b c (Å): 13.275 3.067 10.158
angles (deg): 90.00 101.81 90.00
Space group C2/m (No. 12)
Inequivalent atoms, fractional coordinates:
Mn1 0.000 0.000 0.000 x2
Mn2 0.099 0.000 0.304 x4
Mn3 0.099 0.500 0.799 x4
Mn4 0.196 0.000 0.598 x4
Mn5 0.200 0.500 0.101 x4
Fe1 0.000 0.500 0.500 x2
O1 0.049 0.000 0.650 x4
O2 0.051 0.500 0.151 x4
O3 0.150 0.000 0.951 x4
O4 0.152 0.500 0.449 x4
O5 0.250 0.000 0.252 x4

Summary:
Its density of states at the Fermi level is 15.45 states/eV per cell. The value obtained for the total energy is -14.046 eV per atom. The formation energy from raw total energies is -1.81 eV/atom.

# 3
Compound: Mn4FeO8
Source: Alexandria
Functional: meta-GGA SCAN
Structure: single point on PBEsol structure

a b c (Å): 9.734 5.661 5.721
angles (deg): 90.00 122.98 90.00
Space group C2/m (No. 12)
Inequivalent atoms, fractional coordinates:
Mn1 0.000 0.000 0.000 x2
Mn2 0.000 0.500 0.500 x2
Mn3 0.250 0.250 0.000 x4
Fe1 0.000 0.500 0.000 x2
O1 0.016 0.259 0.780 x8
O2 0.231 0.500 0.200 x4
O3 0.243 0.000 0.220 x4

Summary:
Its density of states at the Fermi level is 8.26 states/eV per cell. The value obtained for the total energy is -12.801 eV per atom. The formation energy from raw total energies is -1.95 eV/atom.

# 4
Compound: Mn5FeO12
Source: Alexandria
Functional: meta-GGA SCAN
Structure: single point on PBEsol structure

a b c (Å): 4.911 8.513 9.776
angles (deg): 90.00 90.11 90.00
Space group C2/m (No. 12)
Inequivalent atoms, fractional coordinates:
Mn1 0.000 0.000 0.000 x2
Mn2 0.000 0.167 0.500 x4
Mn3 0.000 0.333 0.000 x4
Fe1 0.000 0.500 0.500 x2
O1 0.165 0.335 0.596 x8
O2 0.166 0.167 0.902 x8
O3 0.166 0.500 0.902 x4
O4 0.170 0.000 0.596 x4

Summary:
The value obtained for the total energy is -12.160 eV per atom. The formation energy from raw total energies is -1.93 eV/atom.

# 5
Compound: Mn4FeO5
Source: Alexandria
Functional: meta-GGA SCAN
Structure: single point on PBEsol structure

a b c (Å): 3.022 3.022 22.017
angles (deg): 90.00 90.00 90.00
Space group I4/mmm (No. 139)
Inequivalent atoms, fractional coordinates:
Mn1 0.000 0.000 0.096 x4
Mn2 0.000 0.000 0.301 x4
Fe1 0.000 0.000 0.500 x2
O1 0.000 0.000 0.000 x2
O2 0.000 0.000 0.198 x4
O3 0.000 0.000 0.401 x4

Summary:
Its density of states at the Fermi level is 7.61 states/eV per cell. The value obtained for the total energy is -13.959 eV per atom. The formation energy from raw total energies is -1.73 eV/atom.

# 6
Compound: Mn3FeO8
Source: Alexandria
Functional: meta-GGA SCAN
Structure: single point on PBEsol structure

a b c (Å): 5.6602 5.6602 14.2815
angles (deg): 90.00 90.00 120.00
Space group R-3m (No. 166, hexagonal axes)
Inequivalent atoms, fractional coordinates:
Mn1 0.0000 0.5000 0.0000 x9
Fe1 0.0000 0.0000 0.0000 x3
O1 0.0000 0.0000 0.2666 x6
O2 0.0028 0.5014 0.7334 x18

Summary:
Its density of states at the Fermi level is 11.72 states/eV per cell. The value obtained for the total energy is -12.087 eV per atom. Its energy relative to the lowest polymorph listed for this composition is 17 meV/atom. The formation energy from raw total energies is -1.86 eV/atom.

# 7
Compound: MnFe2O3
Source: Alexandria
Functional: meta-GGA SCAN
Structure: single point on PBEsol structure

a b c (Å): 4.290 12.749 4.231
angles (deg): 90.00 90.00 90.00
Space group Cmmm (No. 65)
Inequivalent atoms, fractional coordinates:
Mn1 0.000 0.164 0.000 x4
Fe1 0.000 0.000 0.500 x2
Fe2 0.000 0.336 0.500 x4
Fe3 0.000 0.500 0.000 x2
O1 0.000 0.000 0.000 x2
O2 0.000 0.167 0.500 x4
O3 0.000 0.330 0.000 x4
O4 0.000 0.500 0.500 x2

Summary:
Its density of states at the Fermi level is 15.69 states/eV per cell. The value obtained for the total energy is -13.647 eV per atom. The formation energy from raw total energies is -1.45 eV/atom.

# 8
Compound: Mn2FeP3O12
Source: Alexandria
Functional: meta-GGA SCAN
Structure: single point on PBEsol structure

a b c (Å): 8.4977 8.4977 19.9534
angles (deg): 90.00 90.00 120.00
Space group R-3c (No. 167, hexagonal axes)
Inequivalent atoms, fractional coordinates:
Mn1 0.0000 0.0000 0.1389 x12
Fe1 0.0000 0.0000 0.0000 x6
P1 0.0000 0.2884 0.2500 x18
O1 0.0032 0.1931 0.3140 x36
O2 0.0196 0.1838 0.9258 x36

Summary:
Its density of states at the Fermi level is 44.54 states/eV per cell. The value obtained for the total energy is -11.147 eV per atom. The formation energy from raw total energies is -2.22 eV/atom.

# 9
Compound: MnFe2P3O12
Source: Alexandria
Functional: meta-GGA SCAN
Structure: single point on PBEsol structure

a b c (Å): 8.5544 8.5544 20.3196
angles (deg): 90.00 90.00 120.00
Space group R-3c (No. 167, hexagonal axes)
Inequivalent atoms, fractional coordinates:
Mn1 0.0000 0.0000 0.0000 x6
Fe1 0.0000 0.0000 0.1463 x12
P1 0.0000 0.2968 0.2500 x18
O1 0.0128 0.2023 0.3118 x36
O2 0.0142 0.1790 0.9270 x36

Summary:
Its density of states at the Fermi level is 32.76 states/eV per cell. The value obtained for the total energy is -11.087 eV per atom. The formation energy from raw total energies is -2.17 eV/atom.

# 10
Compound: Mn3FeP6O24
Source: Alexandria
Functional: meta-GGA SCAN
Structure: single point on PBEsol structure

a b c (Å): 9.3255 9.3255 21.5009
angles (deg): 90.00 90.00 120.00
Space group R3 (No. 146, hexagonal axes)
Inequivalent atoms, fractional coordinates:
Mn1 0.0000 0.0000 0.0000 x3
Mn2 0.0000 0.0000 0.0979 x3
Mn3 0.0000 0.0000 0.3468 x3
Fe1 0.0000 0.0000 0.4829 x3
P1 0.9999 0.3585 0.8214 x9
P2 0.1503 0.0165 0.8708 x9
O1 0.0046 0.7572 0.2797 x9
O2 0.0204 0.8560 0.0494 x9
O3 0.0307 0.3987 0.0849 x9
O4 0.0862 0.1763 0.4152 x9
O5 0.1760 0.4879 0.6075 x9
O6 0.1768 0.4566 0.1903 x9
O7 0.1811 0.4795 0.8222 x9
O8 0.1901 0.1023 0.3014 x9

Summary:
Its density of states at the Fermi level is 0.62 states/eV per cell. The value obtained for the total energy is -9.491 eV per atom. The formation energy from raw total energies is -1.11 eV/atom.

# 11
Compound: MnFe2Sb2P6O24
Source: Alexandria
Functional: meta-GGA SCAN
Structure: single point on PBEsol structure

a b c (Å): 8.3133 8.3133 21.2246
angles (deg): 90.00 90.00 120.00
Space group R-3 (No. 148, hexagonal axes)
Inequivalent atoms, fractional coordinates:
Mn1 0.0000 0.0000 0.0000 x3
Fe1 0.0000 0.0000 0.1412 x6
Sb1 0.0000 0.0000 0.3579 x6
P1 0.0108 0.7201 0.7521 x18
O1 0.0090 0.8137 0.8122 x18
O2 0.0199 0.8358 0.0825 x18
O3 0.0762 0.8522 0.6935 x18
O4 0.0802 0.8585 0.4105 x18

Summary:
Its density of states at the Fermi level is 33.83 states/eV per cell. The value obtained for the total energy is -11.820 eV per atom. The formation energy from raw total energies is -2.08 eV/atom.

# 12
Compound: Mn3Fe3Sb2O16
Source: Alexandria
Functional: meta-GGA SCAN
Structure: single point on PBEsol structure

a b c (Å): 9.708 5.617 9.248
angles (deg): 90.00 90.25 90.00
Space group Cm (No. 8)
Inequivalent atoms, fractional coordinates:
Mn1 0.000 0.000 0.000 x2
Mn2 0.081 0.252 0.499 x4
Fe1 0.250 0.260 0.000 x4
Fe2 0.337 0.000 0.500 x2
Sb1 0.330 0.500 0.724 x2
Sb2 0.496 0.000 0.223 x2
O1 0.002 0.500 0.606 x2
O2 0.003 0.000 0.612 x2
O3 0.086 0.242 0.113 x4
O4 0.150 0.500 0.380 x2
O5 0.167 0.000 0.402 x2
O6 0.170 0.000 0.903 x2
O7 0.178 0.500 0.879 x2
O8 0.245 0.237 0.613 x4
O9 0.321 0.000 0.109 x2
O10 0.336 0.500 0.107 x2
O11 0.407 0.274 0.881 x4
O12 0.422 0.228 0.379 x4

Summary:
Its density of states at the Fermi level is 11.13 states/eV per cell. The value obtained for the total energy is -13.488 eV per atom. The formation energy from raw total energies is -1.68 eV/atom.

# 13
Compound: Sr6Mn3FeO14
Source: Alexandria
Functional: meta-GGA SCAN
Structure: single point on PBEsol structure

a b c (Å): 5.376 5.376 19.860
angles (deg): 90.00 90.00 90.00
Space group Amm2 (No. 38)
Inequivalent atoms, fractional coordinates:
Sr1 0.000 0.000 0.000 x2
Sr2 0.000 0.000 0.182 x2
Sr3 0.000 0.000 0.365 x2
Sr4 0.500 0.000 0.500 x2
Sr5 0.500 0.000 0.682 x2
Sr6 0.500 0.000 0.865 x2
Mn1 0.000 0.000 0.585 x2
Mn2 0.000 0.000 0.779 x2
Mn3 0.500 0.000 0.281 x2
Fe1 0.500 0.000 0.086 x2
O1 0.000 0.000 0.490 x2
O2 0.000 0.000 0.682 x2
O3 0.000 0.000 0.874 x2
O4 0.251 0.249 0.086 x8
O5 0.251 0.249 0.277 x8
O6 0.500 0.000 0.180 x2
O7 0.500 0.000 0.374 x2
O8 0.500 0.000 0.991 x2

Summary:
Its density of states at the Fermi level is 2.27 states/eV per cell. The value obtained for the total energy is -14.932 eV per atom. The formation energy from raw total energies is -2.69 eV/atom.

# 14
Compound: Mn3Fe3Te2O16
Source: Alexandria
Functional: meta-GGA SCAN
Structure: single point on PBEsol structure

a b c (Å): 9.669 5.598 9.386
angles (deg): 90.00 90.24 90.00
Space group Cm (No. 8)
Inequivalent atoms, fractional coordinates:
Mn1 0.000 0.000 0.000 x2
Mn2 0.083 0.254 0.499 x4
Fe1 0.251 0.262 0.999 x4
Fe2 0.339 0.000 0.500 x2
Te1 0.333 0.500 0.724 x2
Te2 0.496 0.000 0.220 x2
O1 0.004 0.500 0.605 x2
O2 0.006 0.000 0.614 x2
O3 0.087 0.241 0.115 x4
O4 0.153 0.500 0.383 x2
O5 0.167 0.000 0.401 x2
O6 0.170 0.000 0.904 x2
O7 0.179 0.500 0.882 x2
O8 0.248 0.236 0.615 x4
O9 0.321 0.000 0.113 x2
O10 0.336 0.500 0.106 x2
O11 0.410 0.271 0.883 x4
O12 0.422 0.229 0.383 x4

Summary:
Its density of states at the Fermi level is 7.40 states/eV per cell. The value obtained for the total energy is -13.331 eV per atom. The formation energy from raw total energies is -1.52 eV/atom.